1.
{
  "formula": "NaOsRh",
  "functional": "PBE-GGA",
  "state": "optimized geometry",
  "cell": [[2.727, 0.000, 0.000], [0.000, 3.876, 0.000], [-0.145, 0.000, 10.649]],
  "species": ["Na", "Na", "Os", "Os", "Rh", "Rh"],
  "frac_coords": [[0.000, 0.000, 0.000], [0.474, 0.500, 0.265], [0.482, 0.500, 0.558], [0.495, 0.500, 0.805], [0.976, 0.000, 0.450], [0.990, 0.000, 0.710]],
  "sg": "Pm (6)",
  "formation_energy_ev_per_atom": 0.425
}

***

2.
{
  "formula": "NaOsRh",
  "functional": "PBE-GGA",
  "state": "optimized geometry",
  "cell": [[2.788, 0.000, 0.000], [1.391, 4.571, 0.000], [1.376, 1.289, 8.189]],
  "species": ["Na", "Na", "Os", "Os", "Rh", "Rh"],
  "frac_coords": [[0.166, 0.279, 0.395], [0.834, 0.721, 0.605], [0.155, 0.736, 0.953], [0.845, 0.264, 0.047], [0.497, 0.801, 0.208], [0.503, 0.199, 0.792]],
  "sg": "P-1 (2)",
  "formation_energy_ev_per_atom": 0.350
}

***

3.
{
  "formula": "NaOsRh",
  "functional": "PBE-GGA",
  "state": "optimized geometry",
  "cell": [[2.725, 0.000, 0.000], [0.009, 4.671, 0.000], [0.015, 2.273, 7.413]],
  "species": ["Na", "Na", "Os", "Os", "Rh", "Rh"],
  "frac_coords": [[0.250, 0.140, 0.321], [0.750, 0.860, 0.679], [0.253, 0.740, 0.046], [0.747, 0.260, 0.954], [0.250, 0.369, 0.655], [0.750, 0.631, 0.345]],
  "sg": "P-1 (2)",
  "formation_energy_ev_per_atom": 0.419
}

***

| no. | total moment (μB per formula unit) | N(E_F) (states/eV/f.u.) |
| --- | --- | --- |
| 1 | 0.0 | 3.51 |
| 2 | 0.0 | 2.77 |
| 3 | 0.0 | 2.01 |